# 1
# Hf3NiAg

Hf3NiAg after structural relaxation (PBE-GGA, the Alexandria database).

abc: 4.7936 4.7936 4.7936
angles: 90.00 90.00 90.00
Last column: nearest neighbours and their distance in Å.
Fractional coordinates of all 5 atoms:
Hf1 0.0000 0.0000 0.5000  2 Ni 2.40
Hf2 0.0000 0.5000 0.0000  2 Ni 2.40
Hf3 0.5000 0.0000 0.0000  2 Ni 2.40
Ni1 0.0000 0.0000 0.0000  6 Hf 2.40
Ag1 0.5000 0.5000 0.5000  12 Hf 3.39

Properties
Calculated formation energy   0.326 eV per atom
Symmetry   Pm-3m
Energy   -36.9 eV/cell
N(E_F)   9.14 states/eV per cell
Energy above the most stable polymorph in this dataset   0.0000 eV per atom



# 2
# TaBe4Ir5

TaBe4Ir5 after structural relaxation (PBE-GGA, the Alexandria database).

abc: 2.8358 2.8358 15.0659
angles: 90.00 90.00 90.00
Last column: nearest neighbours and their distance in Å.
Fractional coordinates of all 10 atoms:
Ta1 0.0000 0.0000 0.0000  8 Ir 2.77, 4 Ta 2.84
Be1 0.0000 0.0000 0.2225  8 Ir 2.44-2.47
Be2 0.0000 0.0000 0.4070  8 Ir 2.44-2.45
Be3 0.0000 0.0000 0.5930  8 Ir 2.44-2.45
Be4 0.0000 0.0000 0.7775  8 Ir 2.44-2.47
Ir1 0.5000 0.5000 0.1272  4 Be 2.47
Ir2 0.5000 0.5000 0.3146  8 Be 2.44
Ir3 0.5000 0.5000 0.5000  8 Be 2.45
Ir4 0.5000 0.5000 0.6854  8 Be 2.44
Ir5 0.5000 0.5000 0.8728  4 Be 2.47

Properties
Calculated formation energy   -0.561 eV per atom
Symmetry   P4/mmm
Energy   -76.7 eV/cell
N(E_F)   7.98 states/eV per cell



# 3
# HfUAu2

HfUAu2 after structural relaxation (PBE-GGA, the Alexandria database).

abc: 3.0912 3.0912 8.5966
angles: 90.00 90.00 90.00
Last column: nearest neighbours and their distance in Å.
Fractional coordinates of all 4 atoms:
Hf1 0.0000 0.0000 0.0000  8 Au 2.95, 4 Hf 3.09
U1 0.0000 0.0000 0.5000  4 U 3.09, 8 Au 3.19
Au1 0.5000 0.5000 0.2305  4 Hf 2.95, 4 Au 3.09, 4 U 3.19
Au2 0.5000 0.5000 0.7695  4 Hf 2.95, 4 Au 3.09, 4 U 3.19

Properties
Calculated formation energy   -0.236 eV per atom
Symmetry   P4/mmm
Energy   -28.7 eV/cell
N(E_F)   7.37 states/eV per cell



# 4
# Nb3NiW

Nb3NiW after structural relaxation (PBE-GGA, the Alexandria database).

abc: 4.5663 4.5663 4.5663
angles: 90.00 90.00 90.00
Last column: nearest neighbours and their distance in Å.
Fractional coordinates of all 5 atoms:
Nb1 0.0000 0.0000 0.5000  2 Ni 2.28
Nb2 0.0000 0.5000 0.0000  2 Ni 2.28
Nb3 0.5000 0.0000 0.0000  2 Ni 2.28
Ni1 0.0000 0.0000 0.0000  6 Nb 2.28
W1 0.5000 0.5000 0.5000  12 Nb 3.23

Properties
Calculated formation energy   1.073 eV per atom
Symmetry   Pm-3m
Energy   -43.6 eV/cell
N(E_F)   5.89 states/eV per cell
Energy above the most stable polymorph in this dataset   0.0000 eV per atom



# 5
# PuTc2Au

PuTc2Au after structural relaxation (PBE-GGA, the Alexandria database).

abc: 4.3297 4.3297 3.6705
angles: 90.00 90.00 90.00
Last column: nearest neighbours and their distance in Å.
Fractional coordinates of all 4 atoms:
Pu1 0.0000 0.0000 0.0000  8 Tc 2.84, 4 Au 3.06
Tc1 0.0000 0.5000 0.5000  4 Au 2.84, 4 Pu 2.84, 4 Tc 3.06
Tc2 0.5000 0.0000 0.5000  4 Au 2.84, 4 Pu 2.84, 4 Tc 3.06
Au1 0.5000 0.5000 0.0000  8 Tc 2.84, 4 Pu 3.06

Properties
Calculated formation energy   0.089 eV per atom
Symmetry   P4/mmm
Energy   -38.0 eV/cell
N(E_F)   7.18 states/eV per cell



# 6
# AcLaSn6

AcLaSn6 after structural relaxation (PBE-GGA, the Alexandria database).

abc: 6.8599 6.8599 5.7331
angles: 90.00 90.00 120.00
Last column: nearest neighbours and their distance in Å.
Fractional coordinates of all 8 atoms:
Ac1 0.0000 0.0000 0.0000  12 Sn 3.43-3.59
La1 0.6667 0.3333 0.5000  12 Sn 3.43-3.58
Sn1 0.0266 0.5133 0.0000  6 Sn 3.16-3.39, 2 Ac 3.43
Sn2 0.1823 0.3646 0.5000  6 Sn 3.11-3.39, 2 La 3.43
Sn3 0.1823 0.8177 0.5000  6 Sn 3.11-3.39, 2 La 3.43
Sn4 0.4867 0.5133 0.0000  6 Sn 3.16-3.39, 2 Ac 3.43
Sn5 0.4867 0.9734 0.0000  6 Sn 3.16-3.39, 2 Ac 3.43
Sn6 0.6354 0.8177 0.5000  6 Sn 3.11-3.39, 2 La 3.43

Properties
Calculated formation energy   -0.498 eV per atom
Symmetry   P-6m2
Energy   -37.0 eV/cell
N(E_F)   4.28 states/eV per cell
Energy above the most stable polymorph in this dataset   0.0423 eV per atom



# 7
# Li2NiAgBi

Li2NiAgBi after structural relaxation (PBE-GGA, the Alexandria database).

abc: 4.4963 4.4963 4.8937
angles: 90.00 90.00 90.00
Last column: nearest neighbours and their distance in Å.
Fractional coordinates of all 5 atoms:
Li1 0.0000 0.5000 0.0000  2 Ni 2.25
Li2 0.5000 0.0000 0.0000  2 Ni 2.25
Ni1 0.0000 0.0000 0.0000  4 Li 2.25, 2 Ag 2.45
Ag1 0.0000 0.0000 0.5000  2 Ni 2.45
Bi1 0.5000 0.5000 0.5000  4 Ag 3.18, 8 Li 3.32

Properties
Calculated formation energy   0.224 eV per atom
Symmetry   P4/mmm
Energy   -15.2 eV/cell
N(E_F)   3.20 states/eV per cell



# 8
# Pm2ErScP4

Pm2ErScP4 after structural relaxation (PBE-GGA, the Alexandria database).

abc: 6.9191 4.0080 6.9340
angles: 90.00 109.52 90.00
Last column: nearest neighbours and their distance in Å.
Fractional coordinates of all 8 atoms:
Pm1 0.0000 0.0000 0.0000  6 P 2.87
Pm2 0.0000 0.5000 0.5000  6 P 2.91
Er1 0.5000 0.0000 0.5000  6 P 2.79
Sc1 0.5000 0.5000 0.0000  6 P 2.75
P1 0.2642 0.5000 0.2493  1 Sc 2.75, 2 Er 2.79, 3 Pm 2.87-2.91
P2 0.2681 0.0000 0.7614  2 Sc 2.75, 1 Er 2.79, 3 Pm 2.87-2.91
P3 0.7319 0.0000 0.2386  2 Sc 2.75, 1 Er 2.79, 3 Pm 2.87-2.91
P4 0.7358 0.5000 0.7507  1 Sc 2.75, 2 Er 2.79, 3 Pm 2.87-2.91

Properties
Calculated formation energy   -1.528 eV per atom
Symmetry   P2/m
Energy   -54.3 eV/cell
N(E_F)   0.79 states/eV per cell